Entry 1:
Ca2TaMo: optimized geometry, PBE-GGA.

Cell lengths 3.4646, 3.4646, 8.7614 Å; angles 90.00, 90.00, 90.00 degrees
Last column: nearest neighbours and their distance in Å.
Space group P4mm (No. 99)
Asymmetric unit:
Ca (0.0000, 0.0000, 0.0000)  4 Ta 3.37, 1 Mo 3.39, 4 Ca 3.46
Ca (0.5000, 0.5000, 0.3658)  1 Ta 3.24, 4 Mo 3.27, 4 Ca 3.46
Ta (0.5000, 0.5000, 0.7353)  4 Mo 2.67
Mo (0.0000, 0.0000, 0.6130)  4 Ta 2.67

Calculated values
Calculated density (g/cm3): 5.64
Total magnetic moment (Bohr magnetons per cell): 0.00
Energy of formation (meV/atom): 317



Entry 2:
CaTaMo: optimized geometry, PBE-GGA.

Cell lengths 4.8602, 4.8602, 2.9238 Å; angles 90.00, 90.00, 120.00 degrees
Last column: nearest neighbours and their distance in Å.
Space group P3m1 (No. 156)
Asymmetric unit:
Ca (0.0000, 0.0000, 0.0000)  2 Ca 2.92, 3 Mo 3.02, 3 Ta 3.06
Ta (0.6667, 0.3333, 0.5805)  3 Mo 2.87, 2 Ta 2.92, 3 Ca 3.06
Mo (0.3333, 0.6667, 0.3800)  3 Ta 2.87, 2 Mo 2.92, 3 Ca 3.02

Calculated values
Calculated density (g/cm3): 8.80
Total magnetic moment (Bohr magnetons per cell): 0.00
Energy of formation (meV/atom): 679



Entry 3:
Ca2TaMo: optimized geometry, PBE-GGA.

Cell lengths 2.9212, 5.3211, 5.6989 Å; angles 90.00, 99.13, 90.00 degrees
Last column: nearest neighbours and their distance in Å.
Space group P2/m (No. 10)
Asymmetric unit:
Ca (0.0133, 0.0000, 0.2530)  4 Ca 2.83-2.92
Ta (0.5000, 0.5000, 0.0000)  2 Mo 2.85, 2 Ta 2.92
Mo (0.5000, 0.5000, 0.5000)  2 Ta 2.85, 2 Mo 2.92

Calculated values
Calculated density (g/cm3): 6.78
Total magnetic moment (Bohr magnetons per cell): 0.00
Energy of formation (meV/atom): 817



Entry 4:
Ca2TaMo: optimized geometry, PBE-GGA.

Cell lengths 4.9838, 4.9838, 7.0299 Å; angles 90.00, 90.00, 90.00 degrees
Last column: nearest neighbours and their distance in Å.
Space group I-4m2 (No. 119)
Asymmetric unit:
Ca (0.0000, 0.0000, 0.0000)  4 Mo 3.05, 4 Ca 3.05
Ca (0.0000, 0.5000, 0.2500)  4 Ta 3.05, 4 Ca 3.05
Ta (0.0000, 0.0000, 0.5000)  4 Mo 3.05, 4 Ca 3.05
Mo (0.0000, 0.5000, 0.7500)  4 Ta 3.05, 4 Ca 3.05

Calculated values
Calculated density (g/cm3): 6.79
Total magnetic moment (Bohr magnetons per cell): 0.00
Energy of formation (meV/atom): 776



Entry 5:
Ca2TaMo2: optimized geometry, PBE-GGA.

Cell lengths 3.9187, 3.9187, 14.3337 Å; angles 90.00, 90.00, 90.00 degrees
Last column: nearest neighbours and their distance in Å.
Space group I4/mmm (No. 139)
Asymmetric unit:
Ca (0.0000, 0.5000, 0.2500)  4 Ca 2.77
Ta (0.0000, 0.0000, 0.0000)  8 Mo 2.98
Mo (0.0000, 0.0000, 0.4227)  1 Mo 2.22

Calculated values
Calculated density (g/cm3): 6.83
Total magnetic moment (Bohr magnetons per cell): 0.00
Energy of formation (meV/atom): 1048



Entry 6:
Ca2TaMo: optimized geometry, PBE-GGA.

Cell lengths 3.7013, 4.4287, 10.6766 Å; angles 90.00, 90.00, 90.00 degrees
Last column: nearest neighbours and their distance in Å.
Space group Cmmm (No. 65)
Asymmetric unit:
Ca (0.0000, 0.0000, 0.2408)  4 Ca 2.89, 2 Mo 3.17
Ta (0.0000, 0.5000, 0.5000)  4 Ta 2.89
Mo (0.0000, 0.5000, 0.0000)  4 Mo 2.89, 4 Ca 3.17

Calculated values
Calculated density (g/cm3): 6.78
Total magnetic moment (Bohr magnetons per cell): 0.00
Energy of formation (meV/atom): 833



Entry 7:
CaTaMo: optimized geometry, PBE-GGA.

Cell lengths 2.7867, 2.7867, 15.6402 Å; angles 90.00, 90.00, 90.00 degrees
Last column: nearest neighbours and their distance in Å.
Space group I4mm (No. 107)
Asymmetric unit:
Ca (0.0000, 0.0000, 0.0000)  4 Ca 2.79
Ta (0.0000, 0.0000, 0.6843)  4 Ta 2.79, 4 Mo 3.02
Mo (0.0000, 0.0000, 0.3309)  4 Mo 2.79, 4 Ta 3.02

Calculated values
Calculated density (g/cm3): 8.67
Total magnetic moment (Bohr magnetons per cell): 0.00
Energy of formation (meV/atom): 723



Entry 8:
Ca2TaMo: optimized geometry, PBE-GGA.

Cell lengths 3.3787, 3.3787, 31.1783 Å; angles 90.00, 90.00, 120.00 degrees
Last column: nearest neighbours and their distance in Å.
Space group R3m (No. 160, hexagonal axes)
Asymmetric unit:
Ca (0.0000, 0.0000, 0.0000)  3 Mo 3.18, 6 Ca 3.38
Ca (0.0000, 0.0000, 0.2247)  6 Ca 3.38, 3 Ta 3.40
Ta (0.0000, 0.0000, 0.4689)  3 Mo 2.59
Mo (0.0000, 0.0000, 0.7474)  3 Ta 2.59

Calculated values
Calculated density (g/cm3): 5.77
Total magnetic moment (Bohr magnetons per cell): 0.00
Energy of formation (meV/atom): 518